ZrCrBi2O6: relaxed, PBE+U.

## Properties
SG: P1, No. 1
size of the total moment: 4.0 μB/f.u.
energy: -7.243 eV/atom

Cell: 6.044 5.926 5.845 Å, 61.91 62.28 56.24°
Each line ends with the local moment (μB).
Sites, in units of the cell vectors:
O (0.989, 0.622, 0.246)  -0.01
O (0.443, 0.657, 0.776)  0.01
O (0.672, 0.098, 0.766)  -0.01
O (0.182, 0.993, 0.235)  0.02
O (0.128, 0.478, 0.736)  -0.01
O (0.583, 0.159, 0.282)  -0.01
Cr (0.810, 0.812, 0.559)  3.76
Bi (0.510, 0.521, 0.430)  0.01
Bi (0.032, 0.016, 0.917)  0.01
Zr (0.314, 0.304, 0.068)  0.03